Record 1
Density functional theory data (PBE) for crystalline La8Sm6Tm at its relaxed geometry.

M_tot (μB per cell): 0.00
Formation enthalpy at 0 K (meV per atom): 107
Final energy (eV for the cell shown): -70.608
Crystal system: trigonal
Symmetry: R-3, No. 148
Density of states at the Fermi level (states/eV/atom): 1.648

Cell and atoms, written as CIF:
```
data_La8Sm6Tm
_cell_length_a 8.8914
_cell_length_b 8.8914
_cell_length_c 8.8914
_cell_angle_alpha 63.07
_cell_angle_beta 63.07
_cell_angle_gamma 63.07
_symmetry_space_group_name_H-M 'P 1'
_symmetry_Int_Tables_number 1
loop_
_symmetry_equiv_pos_as_xyz
'x,y,z'
loop_
_atom_site_label
_atom_site_fract_x
_atom_site_fract_y
_atom_site_fract_z
_atom_site_occupancy
La1 0.2878 0.2475 0.8858 1
La2 0.7525 0.1142 0.7122 1
La3 0.4220 0.4220 0.4220 1
La4 0.1142 0.7122 0.7525 1
La5 0.5780 0.5780 0.5780 1
La6 0.8858 0.2878 0.2475 1
La7 0.2475 0.8858 0.2878 1
La8 0.7122 0.7525 0.1142 1
Sm1 0.9051 0.4589 0.7523 1
Sm2 0.5411 0.2477 0.0949 1
Sm3 0.4589 0.7523 0.9051 1
Sm4 0.2477 0.0949 0.5411 1
Sm5 0.7523 0.9051 0.4589 1
Sm6 0.0949 0.5411 0.2477 1
Tm1 0.0000 0.0000 0.0000 1
```

Record 2
Density functional theory data (PBE) for crystalline La12SmTm5 at its relaxed geometry.

M_tot (μB per cell): 0.00
Formation enthalpy at 0 K (meV per atom): 20
Final energy (eV for the cell shown): -85.848
Crystal system: monoclinic
Symmetry: C2/m, No. 12
Density of states at the Fermi level (states/eV/atom): 1.405

Cell and atoms, written as CIF:
```
data_La12SmTm5
_cell_length_a 10.8801
_cell_length_b 11.0023
_cell_length_c 6.3652
_cell_angle_alpha 72.85
_cell_angle_beta 90.00
_cell_angle_gamma 60.37
_symmetry_space_group_name_H-M 'P 1'
_symmetry_Int_Tables_number 1
loop_
_symmetry_equiv_pos_as_xyz
'x,y,z'
loop_
_atom_site_label
_atom_site_fract_x
_atom_site_fract_y
_atom_site_fract_z
_atom_site_occupancy
La1 0.4958 0.6667 0.4995 1
La2 0.8282 0.9999 0.5001 1
La3 0.5042 0.3333 0.5005 1
La4 0.1718 0.0001 0.4999 1
La5 0.6688 0.9999 0.0001 1
La6 0.9960 0.6660 0.9995 1
La7 0.0040 0.3340 0.0005 1
La8 0.6620 0.3340 0.0002 1
La9 0.3313 0.0001 0.9999 1
La10 0.1625 0.3333 0.5008 1
La11 0.3380 0.6660 0.9998 1
La12 0.8375 0.6667 0.4992 1
Tm1 0.8326 0.3350 0.4973 1
Tm2 0.6667 0.6666 0.9992 1
Tm3 0.1674 0.6650 0.5027 1
Tm4 0.3333 0.3334 0.0008 1
Tm5 0.5000 0.0000 0.5000 1
Sm1 0.0000 0.0000 0.0000 1
```

Record 3
Density functional theory data (PBE) for crystalline La6SmTm2 at its relaxed geometry.

M_tot (μB per cell): 0.00
Formation enthalpy at 0 K (meV per atom): 117
Final energy (eV for the cell shown): -42.177
Crystal system: orthorhombic
Symmetry: Cmmm, No. 65
Density of states at the Fermi level (states/eV/atom): 1.500

Cell and atoms, written as CIF:
```
data_La6SmTm2
_cell_length_a 3.6972
_cell_length_b 10.1272
_cell_length_c 10.1272
_cell_angle_alpha 55.87
_cell_angle_beta 90.00
_cell_angle_gamma 90.00
_symmetry_space_group_name_H-M 'P 1'
_symmetry_Int_Tables_number 1
loop_
_symmetry_equiv_pos_as_xyz
'x,y,z'
loop_
_atom_site_label
_atom_site_fract_x
_atom_site_fract_y
_atom_site_fract_z
_atom_site_occupancy
Tm1 0.5000 0.8248 0.8248 1
Tm2 0.5000 0.1752 0.1752 1
La1 0.0000 0.1609 0.5061 1
La2 0.5000 0.3246 0.6754 1
La3 0.5000 0.6754 0.3246 1
La4 0.0000 0.8391 0.4939 1
La5 0.0000 0.5061 0.1609 1
La6 0.0000 0.4939 0.8391 1
Sm1 0.0000 0.0000 0.0000 1
```

Record 4
Density functional theory data (PBE) for crystalline La2Sm6Tm at its relaxed geometry.

M_tot (μB per cell): 0.00
Formation enthalpy at 0 K (meV per atom): 64
Final energy (eV for the cell shown): -84.122
Crystal system: triclinic
Symmetry: P-1, No. 2
Density of states at the Fermi level (states/eV/atom): 1.433

Cell and atoms, written as CIF:
```
data_La2Sm6Tm
_cell_length_a 6.8094
_cell_length_b 10.5184
_cell_length_c 14.5532
_cell_angle_alpha 135.21
_cell_angle_beta 114.74
_cell_angle_gamma 57.10
_symmetry_space_group_name_H-M 'P 1'
_symmetry_Int_Tables_number 1
loop_
_symmetry_equiv_pos_as_xyz
'x,y,z'
loop_
_atom_site_label
_atom_site_fract_x
_atom_site_fract_y
_atom_site_fract_z
_atom_site_occupancy
Sm1 0.8371 0.2439 0.7174 1
Sm2 0.2546 0.3442 0.2400 1
Sm3 0.2784 0.9531 0.2059 1
Sm4 0.7216 0.0469 0.7941 1
Sm5 0.2251 0.4810 0.9507 1
Sm6 0.7017 0.2724 0.1115 1
Sm7 0.1629 0.7561 0.2826 1
Sm8 0.3589 0.8119 0.5570 1
Sm9 0.2983 0.7276 0.8885 1
Sm10 0.6411 0.1881 0.4430 1
Sm11 0.7749 0.5190 0.0493 1
Sm12 0.7454 0.6558 0.7600 1
Tm1 0.2718 0.0796 0.8947 1
Tm2 0.7282 0.9204 0.1053 1
La1 0.2582 0.2217 0.5960 1
La2 0.1576 0.6280 0.5931 1
La3 0.8424 0.3720 0.4069 1
La4 0.7418 0.7783 0.4040 1
```

Record 5
Density functional theory data (PBE) for crystalline La7SmTm3 at its relaxed geometry.

M_tot (μB per cell): 0.00
Formation enthalpy at 0 K (meV per atom): 178
Final energy (eV for the cell shown): -50.668
Crystal system: trigonal
Symmetry: P3m1, No. 156
Density of states at the Fermi level (states/eV/atom): 1.447

Cell and atoms, written as CIF:
```
data_La7SmTm3
_cell_length_a 8.6355
_cell_length_b 7.2840
_cell_length_c 7.2840
_cell_angle_alpha 120.00
_cell_angle_beta 90.00
_cell_angle_gamma 90.00
_symmetry_space_group_name_H-M 'P 1'
_symmetry_Int_Tables_number 1
loop_
_symmetry_equiv_pos_as_xyz
'x,y,z'
loop_
_atom_site_label
_atom_site_fract_x
_atom_site_fract_y
_atom_site_fract_z
_atom_site_occupancy
Tm1 0.7823 0.4995 0.9990 1
Tm2 0.7823 0.4995 0.5005 1
Tm3 0.7823 0.0010 0.5005 1
La1 0.4669 0.8357 0.1643 1
La2 0.1320 0.6667 0.3333 1
La3 0.0986 0.1646 0.8354 1
La4 0.4669 0.8357 0.6714 1
La5 0.0986 0.6708 0.8354 1
La6 0.0986 0.1646 0.3292 1
La7 0.4669 0.3286 0.1643 1
Sm1 0.4396 0.3333 0.6667 1
```

Record 6
Density functional theory data (PBE) for crystalline La3SmTm8 at its relaxed geometry.

M_tot (μB per cell): 0.00
Formation enthalpy at 0 K (meV per atom): 270
Final energy (eV for the cell shown): -52.030
Crystal system: orthorhombic
Symmetry: Immm, No. 71
Density of states at the Fermi level (states/eV/atom): 1.485

Cell and atoms, written as CIF:
```
data_La3SmTm8
_cell_length_a 8.6865
_cell_length_b 8.6865
_cell_length_c 8.6865
_cell_angle_alpha 97.98
_cell_angle_beta 97.56
_cell_angle_gamma 136.87
_symmetry_space_group_name_H-M 'P 1'
_symmetry_Int_Tables_number 1
loop_
_symmetry_equiv_pos_as_xyz
'x,y,z'
loop_
_atom_site_label
_atom_site_fract_x
_atom_site_fract_y
_atom_site_fract_z
_atom_site_occupancy
Sm1 0.0000 0.0000 0.0000 1
La1 0.5000 0.2522 0.7522 1
La2 0.0000 0.5000 0.5000 1
La3 0.5000 0.7478 0.2478 1
Tm1 0.4979 0.2512 0.2467 1
Tm2 0.5021 0.7488 0.7533 1
Tm3 0.1739 0.7506 0.9245 1
Tm4 0.9955 0.7488 0.2467 1
Tm5 0.8261 0.2493 0.0755 1
Tm6 0.1739 0.2494 0.4233 1
Tm7 0.8261 0.7507 0.5767 1
Tm8 0.0045 0.2512 0.7533 1
```

Record 7
Density functional theory data (PBE) for crystalline LaSm2Tm4 at its relaxed geometry.

M_tot (μB per cell): 0.00
Formation enthalpy at 0 K (meV per atom): 43
Final energy (eV for the cell shown): -63.903
Crystal system: triclinic
Symmetry: P1, No. 1
Density of states at the Fermi level (states/eV/atom): 1.569

Cell and atoms, written as CIF:
```
data_LaSm2Tm4
_cell_length_a 7.0788
_cell_length_b 8.6163
_cell_length_c 8.8171
_cell_angle_alpha 114.32
_cell_angle_beta 101.65
_cell_angle_gamma 102.00
_symmetry_space_group_name_H-M 'P 1'
_symmetry_Int_Tables_number 1
loop_
_symmetry_equiv_pos_as_xyz
'x,y,z'
loop_
_atom_site_label
_atom_site_fract_x
_atom_site_fract_y
_atom_site_fract_z
_atom_site_occupancy
Sm1 0.1325 0.1430 0.6087 1
Sm2 0.7234 0.6763 0.4418 1
Sm3 0.7980 0.4102 0.0303 1
Sm4 0.4448 0.8343 0.1695 1
Tm1 0.5274 0.5666 0.7709 1
Tm2 0.0247 0.5656 0.7739 1
Tm3 0.8291 0.2416 0.3158 1
Tm4 0.3353 0.2393 0.3151 1
Tm5 0.9469 0.8354 0.1795 1
Tm6 0.4193 0.0122 0.9009 1
Tm7 0.3059 0.4148 0.0392 1
Tm8 0.6233 0.1288 0.6016 1
La1 0.2204 0.6717 0.4498 1
La2 0.9192 0.0102 0.9031 1
```

Record 8
Density functional theory data (PBE) for crystalline La4Sm2Tm5 at its relaxed geometry.

M_tot (μB per cell): 0.00
Formation enthalpy at 0 K (meV per atom): 95
Final energy (eV for the cell shown): -50.457
Crystal system: monoclinic
Symmetry: C2/m, No. 12
Density of states at the Fermi level (states/eV/atom): 1.443

Cell and atoms, written as CIF:
```
data_La4Sm2Tm5
_cell_length_a 5.7145
_cell_length_b 6.7071
_cell_length_c 10.0330
_cell_angle_alpha 90.51
_cell_angle_beta 106.55
_cell_angle_gamma 90.00
_symmetry_space_group_name_H-M 'P 1'
_symmetry_Int_Tables_number 1
loop_
_symmetry_equiv_pos_as_xyz
'x,y,z'
loop_
_atom_site_label
_atom_site_fract_x
_atom_site_fract_y
_atom_site_fract_z
_atom_site_occupancy
Tm1 0.5000 0.0000 0.0000 1
Tm2 0.2104 0.4030 0.4209 1
Tm3 0.1306 0.8799 0.2611 1
Tm4 0.8694 0.1201 0.7389 1
Tm5 0.7896 0.5970 0.5791 1
La1 0.6931 0.0796 0.3862 1
La2 0.9775 0.7109 0.9550 1
La3 0.3069 0.9204 0.6138 1
La4 0.0225 0.2891 0.0450 1
Sm1 0.6000 0.5607 0.2000 1
Sm2 0.4000 0.4393 0.8000 1
```

Record 9
Density functional theory data (PBE) for crystalline La5Sm4Tm4 at its relaxed geometry.

M_tot (μB per cell): 0.00
Formation enthalpy at 0 K (meV per atom): 29
Final energy (eV for the cell shown): -61.028
Crystal system: tetragonal
Symmetry: I4/m, No. 87
Density of states at the Fermi level (states/eV/atom): 1.603

Cell and atoms, written as CIF:
```
data_La5Sm4Tm4
_cell_length_a 5.1180
_cell_length_b 9.6291
_cell_length_c 9.6291
_cell_angle_alpha 85.95
_cell_angle_beta 74.59
_cell_angle_gamma 74.59
_symmetry_space_group_name_H-M 'P 1'
_symmetry_Int_Tables_number 1
loop_
_symmetry_equiv_pos_as_xyz
'x,y,z'
loop_
_atom_site_label
_atom_site_fract_x
_atom_site_fract_y
_atom_site_fract_z
_atom_site_occupancy
La1 0.5408 0.7667 0.1516 1
La2 0.3075 0.1516 0.2333 1
La3 0.4592 0.2333 0.8484 1
La4 0.6925 0.8484 0.7667 1
La5 0.0000 0.0000 0.0000 1
Tm1 0.2340 0.6108 0.9212 1
Tm2 0.8448 0.9212 0.3892 1
Tm3 0.7660 0.3892 0.0788 1
Tm4 0.1552 0.0788 0.6108 1
Sm1 0.3850 0.6914 0.5386 1
Sm2 0.0764 0.5386 0.3086 1
Sm3 0.6150 0.3086 0.4614 1
Sm4 0.9236 0.4614 0.6914 1
```

Record 10
Density functional theory data (PBE) for crystalline La2Sm5Tm2 at its relaxed geometry.

M_tot (μB per cell): 0.00
Formation enthalpy at 0 K (meV per atom): 207
Final energy (eV for the cell shown): -40.528
Crystal system: monoclinic
Symmetry: C2/m, No. 12
Density of states at the Fermi level (states/eV/atom): 1.426

Cell and atoms, written as CIF:
```
data_La2Sm5Tm2
_cell_length_a 3.5297
_cell_length_b 12.7381
_cell_length_c 8.3366
_cell_angle_alpha 59.98
_cell_angle_beta 90.00
_cell_angle_gamma 97.96
_symmetry_space_group_name_H-M 'P 1'
_symmetry_Int_Tables_number 1
loop_
_symmetry_equiv_pos_as_xyz
'x,y,z'
loop_
_atom_site_label
_atom_site_fract_x
_atom_site_fract_y
_atom_site_fract_z
_atom_site_occupancy
Sm1 0.0000 0.0000 0.0000 1
Sm2 0.6903 0.3807 0.1561 1
Sm3 0.9068 0.8136 0.4519 1
Sm4 0.3097 0.6193 0.8439 1
Sm5 0.0932 0.1864 0.5481 1
La1 0.1775 0.3550 0.7924 1
La2 0.8225 0.6450 0.2076 1
Tm1 0.4528 0.9057 0.7353 1
Tm2 0.5472 0.0943 0.2647 1
```